RbPu3I7 | Alexandria via LeMat-Bulk | PBE-GGA | optimized geometry; total moment = 18.00 μB/f.u.; symmetry = C2/m
1.0
5.163 -5.853 0.000
5.163 5.853 0.000
-2.187 0.000 7.444
Rb Pu I
1 3 7
direct
0.000 0.000 0.000
0.277 0.723 0.500
0.500 0.500 0.000
0.723 0.277 0.500
0.000 0.000 0.500
0.118 0.520 0.775
0.344 0.344 0.294
0.480 0.882 0.225
0.520 0.118 0.775
0.656 0.656 0.706
0.882 0.480 0.225

=====

PmHo6Tm3 | Alexandria via LeMat-Bulk | PBE-GGA | optimized geometry; total moment = 0.00 μB/f.u.; symmetry = Cmc2_1
1.0
5.454 -9.405 0.000
5.454 9.405 0.000
0.000 0.000 6.152
Pm Ho Tm
2 12 6
direct
0.208 0.792 0.500
0.792 0.208 0.000
0.037 0.457 0.703
0.048 0.952 0.255
0.287 0.713 0.983
0.289 0.381 0.870
0.381 0.289 0.370
0.457 0.037 0.203
0.543 0.963 0.703
0.619 0.711 0.870
0.711 0.619 0.370
0.713 0.287 0.483
0.952 0.048 0.755
0.963 0.543 0.203
0.066 0.282 0.295
0.282 0.066 0.795
0.390 0.610 0.416
0.610 0.390 0.916
0.718 0.934 0.295
0.934 0.718 0.795

=====

CuReO6 | Alexandria via LeMat-Bulk | PBE-GGA | optimized geometry; total moment = 3.93 μB/f.u.; symmetry = Fm-3m
1.0
0.000 3.838 3.838
3.838 0.000 3.838
3.838 3.838 0.000
Cu Re O
1 1 6
direct
0.000 0.000 0.000
0.500 0.500 0.500
0.257 0.257 0.743
0.257 0.743 0.257
0.257 0.743 0.743
0.743 0.257 0.257
0.743 0.257 0.743
0.743 0.743 0.257

=====

Ho8Sb2C | Alexandria via LeMat-Bulk | PBE-GGA | optimized geometry; total moment = 0.00 μB/f.u.; symmetry = C2/m
1.0
8.859 -2.675 0.000
8.859 2.675 0.000
-1.978 0.000 5.991
Ho Sb C
8 2 1
direct
0.009 0.009 0.247
0.217 0.217 0.141
0.373 0.373 0.710
0.420 0.420 0.243
0.580 0.580 0.757
0.627 0.627 0.290
0.783 0.783 0.859
0.991 0.991 0.753
0.175 0.175 0.622
0.825 0.825 0.378
0.500 0.500 0.000

=====

HoHfRuPt | Alexandria via LeMat-Bulk | PBE-GGA | optimized geometry; total moment = 0.00 μB/f.u.; symmetry = F-43m
1.0
0.000 3.355 3.355
3.355 0.000 3.355
3.355 3.355 0.000
Ho Hf Ru Pt
1 1 1 1
direct
0.000 0.000 0.000
0.500 0.500 0.500
0.750 0.750 0.750
0.250 0.250 0.250

=====

BeIrAu2 | Alexandria via LeMat-Bulk | PBE-GGA | optimized geometry; total moment = 0.06 μB/f.u.; symmetry = P4/mmm
1.0
2.898 0.000 0.000
0.000 2.898 0.000
0.000 0.000 6.938
Be Ir Au
1 1 2
direct
0.000 0.000 0.000
0.000 0.000 0.500
0.500 0.500 0.211
0.500 0.500 0.789

=====

PrHo3Er4 | Alexandria via LeMat-Bulk | PBE-GGA | optimized geometry; total moment = 0.00 μB/f.u.; symmetry = C2/m
1.0
13.034 -2.810 0.000
13.034 2.810 0.000
-0.004 0.000 3.534
Pr Ho Er
1 3 4
direct
0.000 0.000 0.000
0.343 0.343 0.000
0.500 0.500 0.500
0.657 0.657 0.000
0.106 0.106 0.501
0.224 0.224 0.499
0.776 0.776 0.501
0.894 0.894 0.499

=====

La4Dy3Y | Alexandria via LeMat-Bulk | PBE-GGA | optimized geometry; total moment = 0.00 μB/f.u.; symmetry = Pmmn
1.0
5.162 0.000 0.000
0.000 10.326 0.000
0.000 0.000 10.296
La Dy Y
8 6 2
direct
0.250 0.001 0.128
0.250 0.250 0.874
0.250 0.499 0.128
0.250 0.750 0.872
0.750 0.250 0.128
0.750 0.501 0.872
0.750 0.750 0.126
0.750 0.999 0.872
0.250 0.000 0.617
0.250 0.250 0.382
0.250 0.500 0.617
0.750 0.000 0.383
0.750 0.500 0.383
0.750 0.750 0.618
0.250 0.750 0.383
0.750 0.250 0.617

=====

Li3Cd3Pd2 | Alexandria via LeMat-Bulk | PBE-GGA | optimized geometry; total moment = 0.00 μB/f.u.; symmetry = Cmcm
1.0
2.026 -4.553 0.000
2.026 4.553 0.000
0.000 0.000 14.722
Li Cd Pd
6 6 4
direct
0.048 0.952 0.598
0.048 0.952 0.902
0.177 0.823 0.750
0.823 0.177 0.250
0.952 0.048 0.098
0.952 0.048 0.402
0.351 0.649 0.536
0.351 0.649 0.964
0.466 0.534 0.750
0.534 0.466 0.250
0.649 0.351 0.036
0.649 0.351 0.464
0.244 0.756 0.155
0.244 0.756 0.345
0.756 0.244 0.655
0.756 0.244 0.845

=====

NaCd2InI6 | Alexandria via LeMat-Bulk | PBE-GGA | optimized geometry; total moment = 0.00 μB/f.u.; symmetry = C2/c
1.0
7.719 -7.401 0.000
7.719 7.401 0.000
-1.409 0.000 7.920
Na Cd In I
2 4 2 12
direct
0.226 0.774 0.750
0.774 0.226 0.250
0.108 0.281 0.781
0.281 0.108 0.281
0.719 0.892 0.719
0.892 0.719 0.219
0.403 0.597 0.250
0.597 0.403 0.750
0.058 0.210 0.102
0.116 0.637 0.393
0.210 0.058 0.602
0.283 0.476 0.843
0.363 0.884 0.107
0.476 0.283 0.343
0.524 0.717 0.657
0.637 0.116 0.893
0.717 0.524 0.157
0.790 0.942 0.398
0.884 0.363 0.607
0.942 0.790 0.898

=====

Pu2US | Alexandria via LeMat-Bulk | PBE-GGA | optimized geometry; total moment = 8.88 μB/f.u.; symmetry = P4/mmm
1.0
3.618 0.000 0.000
0.000 3.618 0.000
0.000 0.000 5.992
Pu U S
2 1 1
direct
0.000 0.000 0.241
0.000 0.000 0.759
0.500 0.500 0.500
0.500 0.500 0.000

=====

Tl2CoMo | Alexandria via LeMat-Bulk | PBE-GGA | optimized geometry; total moment = 1.06 μB/f.u.; symmetry = R3m
1.0
1.626 0.939 8.953
-1.626 0.939 8.953
0.000 -1.878 8.953
Tl Co Mo
2 1 1
direct
0.000 0.000 0.000
0.228 0.228 0.228
0.750 0.750 0.750
0.471 0.471 0.471

=====

TbSm2Dy6Ho3 | Alexandria via LeMat-Bulk | PBE-GGA | optimized geometry; total moment = 0.00 μB/f.u.; symmetry = C2/m
1.0
3.077 -5.325 0.000
3.077 5.325 0.000
-2.040 0.000 11.591
Tb Sm Dy Ho
1 2 6 3
direct
0.000 0.000 0.000
0.333 0.667 0.000
0.667 0.333 0.000
0.085 0.418 0.252
0.248 0.248 0.748
0.418 0.085 0.252
0.582 0.915 0.748
0.752 0.752 0.252
0.915 0.582 0.748
0.167 0.833 0.500
0.500 0.500 0.500
0.833 0.167 0.500

=====

LiPRh2O6 | Alexandria via LeMat-Bulk | PBE-GGA | optimized geometry; total moment = 0.60 μB/f.u.; symmetry = P4mm
1.0
5.199 0.000 0.000
0.000 5.199 0.000
0.000 0.000 4.472
Li P Rh O
1 1 2 6
direct
0.000 0.000 0.000
0.500 0.500 0.055
0.000 0.500 0.360
0.500 0.000 0.360
0.000 0.000 0.564
0.277 0.277 0.177
0.277 0.723 0.177
0.500 0.500 0.720
0.723 0.277 0.177
0.723 0.723 0.177

=====

Zn2Ga2H | Alexandria via LeMat-Bulk | PBE-GGA | optimized geometry; total moment = 0.00 μB/f.u.; symmetry = P4/mbm
1.0
5.329 0.000 0.000
0.000 5.329 0.000
0.000 0.000 5.257
Zn Ga H
4 4 2
direct
0.175 0.325 0.000
0.325 0.825 0.000
0.675 0.175 0.000
0.825 0.675 0.000
0.185 0.685 0.500
0.315 0.185 0.500
0.685 0.815 0.500
0.815 0.315 0.500
0.000 0.000 0.000
0.500 0.500 0.000

=====

Pm2Nd5Er4 | Alexandria via LeMat-Bulk | PBE-GGA | optimized geometry; total moment = 0.02 μB/f.u.; symmetry = Immm
1.0
-1.771 4.588 11.787
1.771 -4.588 11.787
1.771 4.588 -11.787
Pm Nd Er
2 5 4
direct
0.231 0.231 0.000
0.769 0.769 0.000
0.156 0.356 0.800
0.444 0.644 0.800
0.500 0.000 0.500
0.556 0.356 0.200
0.844 0.644 0.200
0.096 0.096 0.000
0.185 0.500 0.685
0.815 0.500 0.315
0.904 0.904 0.000

=====

NaSc2CrGe | Alexandria via LeMat-Bulk | PBE-GGA | optimized geometry; total moment = 0.60 μB/f.u.; symmetry = P4/mmm
1.0
4.883 0.000 0.000
0.000 4.883 0.000
0.000 0.000 4.624
Na Sc Cr Ge
1 2 1 1
direct
0.000 0.000 0.000
0.000 0.500 0.000
0.500 0.000 0.000
0.500 0.500 0.500
0.000 0.000 0.500

=====

Cs4CaTh3S8 | Alexandria via LeMat-Bulk | PBE-GGA | optimized geometry; total moment = 0.00 μB/f.u.; symmetry = R-3m
1.0
4.211 2.431 8.097
-4.211 2.431 8.097
0.000 -4.863 8.097
Cs Ca Th S
4 1 3 8
direct
0.000 0.000 0.000
0.000 0.500 0.500
0.500 0.000 0.500
0.500 0.500 0.000
0.500 0.500 0.500
0.000 0.000 0.500
0.000 0.500 0.000
0.500 0.000 0.000
0.221 0.732 0.732
0.229 0.229 0.229
0.268 0.268 0.779
0.268 0.779 0.268
0.732 0.221 0.732
0.732 0.732 0.221
0.771 0.771 0.771
0.779 0.268 0.268

=====

NaSiSb3 | Alexandria via LeMat-Bulk | PBE-GGA | optimized geometry; total moment = 0.00 μB/f.u.; symmetry = Pm-3m
1.0
5.337 0.000 0.000
0.000 5.337 0.000
0.000 0.000 5.337
Na Si Sb
1 1 3
direct
0.000 0.000 0.000
0.500 0.500 0.500
0.000 0.500 0.500
0.500 0.000 0.500
0.500 0.500 0.000

=====

Li2AsW | Alexandria via LeMat-Bulk | PBE-GGA | optimized geometry; total moment = 0.00 μB/f.u.; symmetry = P4/mmm
1.0
3.705 0.000 0.000
0.000 3.705 0.000
0.000 0.000 4.160
Li As W
2 1 1
direct
0.000 0.500 0.000
0.500 0.000 0.000
0.000 0.000 0.500
0.500 0.500 0.500

=====

Number 1: VASP energy -6.0462 eV/atom. Number 2: VASP energy -4.4125 eV/atom. Number 3: VASP energy -6.3075 eV/atom. Number 4: VASP energy -5.1657 eV/atom. Number 5: VASP energy -8.2553 eV/atom. Number 6: VASP energy -4.6214 eV/atom. Number 7: VASP energy -4.3632 eV/atom. Number 8: VASP energy -4.9696 eV/atom. Number 9: VASP energy -2.6858 eV/atom. Number 10: VASP energy -2.1974 eV/atom. Number 11: VASP energy -11.3795 eV/atom. Number 12: VASP energy -5.0626 eV/atom. Number 13: VASP energy -4.6016 eV/atom. Number 14: VASP energy -5.9923 eV/atom. Number 15: VASP energy -2.1775 eV/atom. Number 16: VASP energy -4.5151 eV/atom. Number 17: VASP energy -4.1623 eV/atom. Number 18: VASP energy -5.5011 eV/atom. Number 19: VASP energy -3.4540 eV/atom. Number 20: VASP energy -5.1728 eV/atom.